CrIr2Rh | PBE-GGA | relaxed

Its energy relative to the elements is 3.68 eV per formula unit. The calculation puts the total DFT energy (no corrections) at -7.7541 eV/atom.

The structure belongs to space group I-42d (No. 122); the cell edges are 5.610, 5.610 and 10.203 Å and the angles 90.00°, 90.00° and 90.00°. The distinct sites, in fractional coordinates, are Cr at (0.000, 0.000, 0.000), Ir at (0.231, 0.250, 0.125) and Rh at (0.000, 0.000, 0.500).